Record 1
Material: Dy2YZn2In2
Method: DFT, PBE
State: relaxed

Properties
crystal system	trigonal
calculated formation energy	-0.28	eV per atom
V	174	Å³/cell

The structure in POSCAR format:
```
Dy2YZn2In2
1.0
4.7013 0.0000 0.0000
2.3507 4.0714 0.0000
2.3507 1.3571 9.0711
Dy Y Zn In
2 1 2 2
Direct
0.1277 0.1277 0.6170
0.8723 0.8723 0.3830
0.0000 0.0000 0.0000
0.6024 0.6024 0.1929
0.3976 0.3976 0.8071
0.7373 0.7373 0.7882
0.2627 0.2627 0.2118
```

---

Record 2
Material: CuCSN
Method: DFT, PBE
State: relaxed

Properties
crystal system	monoclinic
formation energy from raw total energies	0.6	eV/f.u.
V	70	Å³/cell
relative energy among the computed polymorphs	0.3	meV/atom

The structure in POSCAR format:
```
CuCSN
1.0
3.7877 -0.5917 0.2146
-1.3709 3.5716 -0.3134
-0.6046 -1.7933 5.5993
S C Cu N
1 1 1 1
Direct
0.2534 0.1014 0.7499
0.3544 0.3036 0.0532
0.5409 0.6777 0.6131
0.4258 0.4469 0.2677
```

---

Record 3
Material: CrPBr
Method: DFT, PBE
State: relaxed

Properties
crystal system	cubic
formation energy from raw total energies	2.6	eV/f.u.
V	64	Å³/cell
relative energy among the computed polymorphs	1048.1	meV/atom

The structure in POSCAR format:
```
CrPBr
1.0
-0.1178 3.5111 -2.8005
-3.8478 2.2259 -0.6512
-0.4935 4.1576 1.6296
Br Cr P
1 1 1
Direct
0.0000 0.0000 0.0000
0.5000 0.5000 0.5000
0.2500 0.2500 0.2500
```

---

Record 4
Material: La6AlFe13
Method: DFT, PBE
State: relaxed

Properties
crystal system	tetragonal
calculated formation energy	0.04	eV per atom
V	753	Å³/cell

The structure in POSCAR format:
```
La6AlFe13
1.0
8.0180 0.0000 0.0000
0.0000 8.0180 0.0000
-4.0090 -4.0090 11.7182
La Al Fe
12 2 26
Direct
0.3463 0.8463 0.3623
0.6537 0.1537 0.6377
0.0159 0.5159 0.3623
0.5159 0.3463 0.3623
0.1537 0.9841 0.6377
0.9841 0.4841 0.6377
0.4841 0.6537 0.6377
0.8463 0.0159 0.3623
0.1060 0.1060 0.2119
0.8940 0.8940 0.7881
0.3940 0.3940 0.7881
0.6060 0.6060 0.2119
0.2500 0.2500 0.5000
0.7500 0.7500 0.5000
0.2330 0.7330 0.1093
0.7670 0.2670 0.8907
0.8762 0.3762 0.1093
0.3762 0.2330 0.1093
0.2670 0.1238 0.8907
0.1238 0.6238 0.8907
0.6238 0.7670 0.8907
0.7330 0.8762 0.1093
0.7005 0.2005 0.1773
0.2995 0.7995 0.8227
0.4768 0.9768 0.1773
0.9768 0.7005 0.1773
0.7995 0.5232 0.8227
0.5232 0.0232 0.8227
0.0232 0.2995 0.8227
0.2005 0.4768 0.1773
0.0000 0.5000 0.0000
0.5000 0.0000 0.0000
0.0658 0.2115 0.0000
0.9342 0.7885 0.0000
0.7885 0.0658 0.0000
0.4342 0.7115 0.0000
0.2115 0.9342 0.0000
0.5658 0.2885 0.0000
0.7115 0.5658 0.0000
0.2885 0.4342 0.0000
```

---

Record 5
Material: GdSn2Pb
Method: DFT, PBE
State: relaxed

Properties
crystal system	tetragonal
calculated formation energy	-0.42	eV per atom
V	110	Å³/cell
relative energy among the computed polymorphs	0.0	meV/atom

The structure in POSCAR format:
```
GdSn2Pb
1.0
4.6894 0.0000 0.0000
0.0000 4.8359 0.0000
0.0000 0.0000 4.8359
Pb Gd Sn
1 1 2
Direct
0.5000 0.5000 0.5000
0.5000 0.0000 0.0000
0.0000 0.0000 0.5000
0.0000 0.5000 0.0000
```

---

Record 6
Material: NdSm6Ho4
Method: DFT, PBE
State: relaxed

Properties
crystal system	tetragonal
calculated formation energy	0.38	eV per atom
V	386	Å³/cell
relative energy among the computed polymorphs	263.0	meV/atom

The structure in POSCAR format:
```
NdSm6Ho4
1.0
-6.3273 -1.7445 3.7647
4.1195 -1.8209 6.0799
0.6620 8.1400 -2.7189
Nd Sm Ho
1 6 4
Direct
0.5000 0.5000 0.0000
0.9194 0.4555 0.3749
0.4555 0.9194 0.3749
0.5445 0.5445 0.6251
0.0000 0.5000 0.0000
0.0806 0.0806 0.6251
0.5000 0.0000 0.0000
0.0831 0.7572 0.8403
0.9169 0.9169 0.1597
0.7572 0.0831 0.8403
0.2428 0.2428 0.1597
```

---

Record 7
Material: KRh
Method: DFT, PBE
State: relaxed

Properties
crystal system	cubic
calculated formation energy	1.54	eV per atom
V	235	Å³/cell
relative energy among the computed polymorphs	1167.9	meV/atom

The structure in POSCAR format:
```
KRh
1.0
6.1696 0.0000 0.0000
0.0000 6.1696 0.0000
0.0000 0.0000 6.1696
K Rh
4 4
Direct
0.0000 0.0000 0.0000
0.0000 0.5000 0.5000
0.5000 0.0000 0.5000
0.5000 0.5000 0.0000
0.5000 0.5000 0.5000
0.5000 0.0000 0.0000
0.0000 0.5000 0.0000
0.0000 0.0000 0.5000
```

---

Record 8
Material: Co2AsRh
Method: DFT, PBE
State: relaxed

Properties
crystal system	orthorhombic
calculated formation energy	0.05	eV per atom
V	50	Å³/cell

The structure in POSCAR format:
```
Co2AsRh
1.0
-3.9505 -1.6645 -0.7684
2.9494 -2.3657 -2.1614
0.2779 -1.6837 2.2242
As Co Rh
1 2 1
Direct
0.0000 0.5000 0.5000
0.0000 0.0000 0.0000
0.5000 0.5000 0.0000
0.5000 0.0000 0.5000
```

---

Record 9
Material: Sn2Pb7
Method: DFT, PBE
State: relaxed

Properties
crystal system	trigonal
calculated formation energy	0.01	eV per atom
V	278	Å³/cell

The structure in POSCAR format:
```
Sn2Pb7
1.0
-1.5770 5.8686 0.2776
0.0628 -3.3752 5.0605
8.2785 2.1613 1.3388
Sn Pb
2 7
Direct
0.3333 0.6667 0.0000
0.6667 0.3333 0.0000
0.0000 0.0000 0.0000
0.6642 0.0000 0.3287
0.0000 0.6642 0.3287
0.3358 0.3358 0.3287
0.0000 0.3358 0.6713
0.3358 0.0000 0.6713
0.6642 0.6642 0.6713
```

---

Record 10
Material: Dy3Tm2Bi3
Method: DFT, PBE
State: relaxed

Properties
crystal system	hexagonal
calculated formation energy	-0.66	eV per atom
V	458	Å³/cell

The structure in POSCAR format:
```
Dy3Tm2Bi3
1.0
6.3524 0.0000 0.0000
0.0000 9.1257 0.0000
0.0000 -4.5628 7.9031
Dy Tm Bi
6 4 6
Direct
0.7500 0.2437 0.0000
0.7500 0.7563 0.7563
0.7500 0.0000 0.2437
0.2500 0.7563 0.0000
0.2500 0.2437 0.2437
0.2500 0.0000 0.7563
0.0000 0.3333 0.6667
0.5000 0.6667 0.3333
0.0000 0.6667 0.3333
0.5000 0.3333 0.6667
0.7500 0.6091 0.0000
0.7500 0.3909 0.3909
0.7500 0.0000 0.6091
0.2500 0.3909 0.0000
0.2500 0.6091 0.6091
0.2500 0.0000 0.3909
```

---

Record 11
Material: Sr2ErPaO6
Method: DFT, PBE
State: relaxed

Properties
crystal system	monoclinic
formation energy from raw total energies	-34.0	eV/f.u.
V	314	Å³/cell

The structure in POSCAR format:
```
Sr2ErPaO6
1.0
5.9961 0.0000 -0.0256
0.0000 6.1278 0.0000
0.0160 0.0000 8.5576
Sr Er Pa O
4 2 2 12
Direct
0.0116 0.9569 0.2492
0.5116 0.5431 0.7492
0.9884 0.0431 0.7508
0.4884 0.4569 0.2508
0.5000 0.0000 0.5000
0.0000 0.5000 0.0000
0.5000 0.0000 0.0000
0.0000 0.5000 0.5000
0.3000 0.7093 0.0553
0.8000 0.7907 0.5553
0.7000 0.2907 0.9447
0.2000 0.2093 0.4447
0.2925 0.7003 0.4484
0.7925 0.7997 0.9484
0.7075 0.2997 0.5516
0.2075 0.2003 0.0516
0.9002 0.5380 0.2541
0.4002 0.9620 0.7541
0.0998 0.4620 0.7459
0.5998 0.0380 0.2459
```

---

Record 12
Material: SmDyCdPd
Method: DFT, PBE
State: relaxed

Properties
crystal system	cubic
calculated formation energy	-0.52	eV per atom
V	98	Å³/cell

The structure in POSCAR format:
```
SmDyCdPd
1.0
-0.4367 -4.7220 -2.0717
3.2609 -3.7596 1.4185
-1.6979 -3.9451 2.8866
Cd Pd Sm Dy
1 1 1 1
Direct
0.7500 0.7500 0.7500
0.2500 0.2500 0.2500
0.0000 0.0000 0.0000
0.5000 0.5000 0.5000
```

---

> The highest V belongs to which entry?

La6AlFe13